Record 1
5
Lattice="5.593 0.000 0.000 0.000 5.593 0.000 0.000 0.000 5.593" Properties=species:S:1:pos:R:3 comment="LaNiAs3, relaxed, DFT GGA-PBE" formation_energy_ev_per_fu=6.0 spacegroup="Pm-3m (221)" pbc="T T T"
As 0.000 2.797 0.000
As 2.797 0.000 0.000
As 0.000 0.000 2.797
Ni 2.797 2.797 2.797
La 0.000 0.000 0.000



Record 2
4
Lattice="5.713 -0.006 -0.025 -2.551 5.111 -0.025 0.673 1.086 2.597" Properties=species:S:1:pos:R:3 comment="MgReHg2, relaxed, DFT GGA-PBE" formation_energy_ev_per_fu=2.2 spacegroup="C2/m (12)" pbc="T T T"
Mg 3.193 0.540 1.286
Hg 1.581 2.553 -0.025
Hg 0.000 0.000 0.000
Re -0.939 3.099 1.286



Record 3
14
Lattice="8.474 0.000 0.000 4.237 7.339 0.000 4.237 2.446 7.090" Properties=species:S:1:pos:R:3 comment="KPmTm4Se8, relaxed, DFT GGA-PBE" raw_formation_energy_kj_per_mol_atoms=-166.6 spacegroup="R3m (160)" pbc="T T T"
K 8.474 4.892 6.304
Tm 8.474 4.892 0.868
Tm 4.237 4.802 3.579
Tm 2.197 1.268 3.579
Tm 6.277 1.268 3.579
Se 8.474 7.595 5.129
Se 10.814 3.541 5.129
Se 12.711 7.339 5.158
Se 10.687 6.170 1.869
Se 6.133 3.541 5.129
Se 4.237 2.446 2.139
Se 8.474 2.336 1.869
Se 6.260 6.170 1.869
Pm 4.237 2.446 6.976



| no. | calculated volume (Å³/atom) |
| --- | --- |
| 1 | 35.000 |
| 2 | 19.024 |
| 3 | 31.492 |